Below is a PBEsol-optimized structure of Sm2ZnTe2S2O14, with properties calculated at the meta-GGA SCAN level.

Symmetry: P-1
E_tot: -15.626 eV/atom
Formation energy without anion corrections: -205.6 kJ per mole of atoms

Cell: 5.268 7.879 8.117 Å, 62.86 73.52 84.84°
Sites, in units of the cell vectors:
Sm 0.932 0.748 0.985
Sm 0.068 0.252 0.015
Zn 0.000 0.000 0.500
Te 0.494 0.733 0.651
Te 0.506 0.267 0.349
S 0.252 0.750 0.257
S 0.748 0.250 0.743
O 0.140 0.584 0.258
O 0.860 0.416 0.742
O 0.137 0.762 0.440
O 0.863 0.238 0.560
O 0.542 0.740 0.224
O 0.458 0.260 0.776
O 0.179 0.920 0.094
O 0.821 0.080 0.906
O 0.255 0.561 0.886
O 0.745 0.439 0.114
O 0.725 0.807 0.751
O 0.275 0.193 0.249
O 0.258 0.932 0.660
O 0.742 0.068 0.340